NaBe2O2 after structural relaxation, computed with PBE-GGA.

## Properties
symmetry	I4/mmm (139)
density	1.4	Mg/m³
spin magnetization	0.00	Bohr magnetons per cell
raw formation energy	-1669	meV per atom
energy relative to the lowest polymorph listed for this composition	0	meV per atom

Cell lengths 7.8157, 7.8157, 7.8157 Å; angles 155.15, 155.15, 35.43 degrees
Closest atoms and distances in Å follow each position.
Positions (direct):
1 Na 0.0000 0.0000 0.0000  4 Na 3.36, 2 Be 3.75
2 Be 0.2516 0.2516 0.0000  4 O 1.68
3 Be 0.7484 0.7484 0.0000  4 O 1.68
4 O 0.2500 0.7500 0.5000  4 Be 1.68
5 O 0.7500 0.2500 0.5000  4 Be 1.68



NaAlBiPt2 after structural relaxation, computed with PBE-GGA.

## Properties
formation enthalpy at 0 K	4.5	eV/f.u.
symmetry	P4/mmm (123)
density	9.9	Mg/m³
spin magnetization	0.00	Bohr magnetons per cell

Cell lengths 4.8414, 4.8414, 4.6664 Å; angles 90.00, 90.00, 90.00 degrees
Closest atoms and distances in Å follow each position.
Positions (direct):
1 Na 0.0000 0.0000 0.0000  2 Al 2.33, 4 Pt 2.42
2 Al 0.0000 0.0000 0.5000  2 Na 2.33
3 Bi 0.5000 0.5000 0.5000  8 Pt 3.36, 4 Al 3.42
4 Pt 0.0000 0.5000 0.0000  2 Na 2.42
5 Pt 0.5000 0.0000 0.0000  2 Na 2.42



NdY2Mg after structural relaxation, computed with PBE-GGA.

## Properties
formation enthalpy at 0 K	0.1	eV/f.u.
symmetry	P4/mmm (123)
density	4.7	Mg/m³
spin magnetization	0.02	Bohr magnetons per cell
energy relative to the lowest polymorph listed for this composition	53	meV per atom

Cell lengths 4.9593, 4.9593, 5.0054 Å; angles 90.00, 90.00, 90.00 degrees
Closest atoms and distances in Å follow each position.
Positions (direct):
1 Nd 0.0000 0.0000 0.0000  4 Mg 3.51, 8 Y 3.52
2 Y 0.0000 0.5000 0.5000  4 Y 3.51, 4 Mg 3.52, 4 Nd 3.52
3 Y 0.5000 0.0000 0.5000  4 Y 3.51, 4 Mg 3.52, 4 Nd 3.52
4 Mg 0.5000 0.5000 0.0000  4 Nd 3.51, 8 Y 3.52



SrReGe2 after structural relaxation, computed with PBE-GGA.

## Properties
formation enthalpy at 0 K	1.4	eV/f.u.
symmetry	Fm-3m (225)
density	9.1	Mg/m³
spin magnetization	0.00	Bohr magnetons per cell
energy relative to the lowest polymorph listed for this composition	299	meV per atom

Cell lengths 4.7565, 4.7565, 4.7565 Å; angles 60.00, 60.00, 60.00 degrees
Closest atoms and distances in Å follow each position.
Positions (direct):
1 Sr 0.0000 0.0000 0.0000  8 Ge 2.91
2 Re 0.5000 0.5000 0.5000  8 Ge 2.91
3 Ge 0.2500 0.2500 0.2500  4 Re 2.91, 4 Sr 2.91
4 Ge 0.7500 0.7500 0.7500  4 Re 2.91, 4 Sr 2.91



CaSm3Ni after structural relaxation, computed with PBE-GGA.

## Properties
formation enthalpy at 0 K	-0.1	eV/f.u.
symmetry	Pm-3m (221)
density	5.5	Mg/m³
spin magnetization	1.01	Bohr magnetons per cell

Cell lengths 5.4875, 5.4875, 5.4875 Å; angles 90.00, 90.00, 90.00 degrees
Closest atoms and distances in Å follow each position.
Positions (direct):
1 Ca 0.0000 0.0000 0.0000  12 Sm 3.88
2 Sm 0.0000 0.5000 0.5000  2 Ni 2.74
3 Sm 0.5000 0.0000 0.5000  2 Ni 2.74
4 Sm 0.5000 0.5000 0.0000  2 Ni 2.74
5 Ni 0.5000 0.5000 0.5000  6 Sm 2.74



PmGePt after structural relaxation, computed with PBE-GGA.

## Properties
formation enthalpy at 0 K	-3.1	eV/f.u.
symmetry	C2/c (15)
density	10.5	Mg/m³
spin magnetization	0.00	Bohr magnetons per cell
energy relative to the lowest polymorph listed for this composition	61	meV per atom

Cell lengths 4.3354, 4.3354, 8.0513 Å; angles 90.09, 90.09, 120.00 degrees
Closest atoms and distances in Å follow each position.
Positions (direct):
1 Pm 0.0000 0.0000 0.0000  6 Ge 3.21-3.22, 6 Pt 3.21-3.22
2 Pm 0.0000 0.0000 0.5000  6 Ge 3.21-3.22, 6 Pt 3.21-3.22
3 Ge 0.3333 0.6667 0.7500  3 Pt 2.50
4 Ge 0.6667 0.3333 0.2500  3 Pt 2.50
5 Pt 0.3331 0.6669 0.2500  3 Ge 2.50
6 Pt 0.6669 0.3331 0.7500  3 Ge 2.50



Y2ReNi after structural relaxation, computed with PBE-GGA.

## Properties
formation enthalpy at 0 K	0.4	eV/f.u.
symmetry	Imm2 (44)
density	8.4	Mg/m³
spin magnetization	0.00	Bohr magnetons per cell

Cell lengths 6.0118, 6.0118, 6.0118 Å; angles 147.54, 134.11, 57.33 degrees
Closest atoms and distances in Å follow each position.
Positions (direct):
1 Y 0.0000 0.0000 0.0000  4 Ni 2.95, 2 Y 3.25
2 Y 0.7136 0.2136 0.5000  4 Re 2.95, 2 Y 3.25
3 Re 0.2719 0.7719 0.5000  2 Ni 2.44
4 Ni 0.4402 0.4402 0.0000  2 Re 2.44



LaSb2Te after structural relaxation, computed with PBE-GGA.

## Properties
symmetry	P4/mmm (123)
density	6.9	Mg/m³
spin magnetization	0.00	Bohr magnetons per cell
raw formation energy	-576	meV per atom

Cell lengths 4.4694, 4.4694, 6.1665 Å; angles 90.00, 90.00, 90.00 degrees
Closest atoms and distances in Å follow each position.
Positions (direct):
1 La 0.0000 0.0000 0.0000  2 Te 3.08
2 Sb 0.5000 0.5000 0.2448  2 Sb 3.02-3.15
3 Sb 0.5000 0.5000 0.7552  2 Sb 3.02-3.15
4 Te 0.0000 0.0000 0.5000  2 La 3.08